1.
Compound: Tm2ZrAg6
Source: Alexandria via LeMat-Bulk
Functional: PBE
Structure: relaxed

Unit cell a=8.724 b=8.724 c=5.180 alpha=98.12 beta=98.12 gamma=75.77
Sites, in units of the cell vectors:
Tm1 0.042 0.292 0.087
Tm2 0.292 0.042 0.587
Tm3 0.708 0.958 0.413
Tm4 0.958 0.708 0.913
Zr1 0.377 0.623 0.750
Zr2 0.623 0.377 0.250
Ag1 0.074 0.814 0.473
Ag2 0.158 0.406 0.642
Ag3 0.186 0.926 0.027
Ag4 0.268 0.515 0.197
Ag5 0.406 0.158 0.142
Ag6 0.485 0.732 0.303
Ag7 0.515 0.268 0.697
Ag8 0.594 0.842 0.858
Ag9 0.732 0.485 0.803
Ag10 0.814 0.074 0.973
Ag11 0.842 0.594 0.358
Ag12 0.926 0.186 0.527

Energy of formation   -0.1219 eV/atom
Fermi-level density of states   6.305 states/eV/f.u.

2.
Compound: U4Ag
Source: Alexandria via LeMat-Bulk
Functional: PBE
Structure: relaxed

Unit cell a=5.491 b=5.491 c=5.491 alpha=90.00 beta=90.00 gamma=90.00
Sites, in units of the cell vectors:
U1 0.000 0.000 0.000
U2 0.000 0.500 0.500
U3 0.500 0.000 0.500
U4 0.500 0.500 0.000
Ag1 0.500 0.500 0.500

Energy of formation   1.8177 eV/atom
Fermi-level density of states   34.154 states/eV/f.u.

3.
Compound: UAg3
Source: Alexandria via LeMat-Bulk
Functional: PBE
Structure: relaxed

Unit cell a=5.102 b=5.102 c=5.102 alpha=124.79 beta=124.79 gamma=81.89
Sites, in units of the cell vectors:
U1 0.000 0.000 0.000
Ag1 0.250 0.750 0.500
Ag2 0.500 0.500 0.000
Ag3 0.750 0.250 0.500

Energy of formation   0.3974 eV/atom
Fermi-level density of states   8.249 states/eV/f.u.

4.
Compound: UAg6
Source: Alexandria via LeMat-Bulk
Functional: PBE
Structure: relaxed

Unit cell a=6.366 b=6.366 c=6.366 alpha=109.47 beta=109.47 gamma=109.47
Sites, in units of the cell vectors:
U1 0.000 0.000 0.000
Ag1 0.250 0.500 0.750
Ag2 0.250 0.750 0.500
Ag3 0.500 0.250 0.750
Ag4 0.500 0.750 0.250
Ag5 0.750 0.250 0.500
Ag6 0.750 0.500 0.250

Energy of formation   0.9036 eV/atom
Fermi-level density of states   5.612 states/eV/f.u.

Number 1: total moment 0.000 μB per formula unit. Number 2: total moment 15.227 μB per formula unit. Number 3: total moment 2.971 μB per formula unit. Number 4: total moment 3.755 μB per formula unit.